No. 1
Density functional theory data (GGA-PBE) for a relaxed structure of PuNbAg.

Output
As for the density: 12.75 g/cm³. For the total energy, the calculation gives -8.842 eV per atom.

Cell lengths 2.8059, 4.9427, 8.3659 Å; angles 91.33, 92.74, 90.14 degrees
Last column: nearest neighbours and their distance in Å.
Positions (direct):
Pu 0.0000 0.0000 0.0000  3 Pu 2.54-2.81
Pu 0.2145 0.5377 0.8865  3 Pu 2.54-2.81
Nb 0.5247 0.5139 0.2325  3 Nb 2.75-2.81, 1 Pu 2.99, 4 Ag 3.01-3.04
Nb 0.9103 0.5288 0.5416  3 Nb 2.75-2.81, 4 Ag 2.93-2.96, 1 Pu 2.97
Ag 0.0352 0.0199 0.3554  4 Ag 2.80-3.04, 6 Nb 2.94-3.04, 1 Pu 2.97
Ag 0.4901 0.0343 0.6609  4 Ag 2.80-3.04, 4 Nb 2.93-3.10, 1 Pu 3.12

---

No. 2
Density functional theory data (GGA-PBE) for a relaxed structure of Ca2AgMo.

Output
As for the density: 4.72 g/cm³. For the total energy, the calculation gives -3.810 eV per atom. The calculation puts the energy above the most stable polymorph in this dataset at 0.191 eV per atom.

Cell lengths 5.9045, 5.9045, 5.9045 Å; angles 135.46, 135.46, 64.82 degrees
Last column: nearest neighbours and their distance in Å.
Positions (direct):
Ca 0.0000 0.0000 0.0000  4 Ag 3.16, 4 Mo 3.35, 4 Ca 3.35
Ca 0.7500 0.2500 0.5000  4 Mo 3.16, 4 Ca 3.35, 4 Ag 3.35
Ag 0.5000 0.5000 0.0000  8 Ca 3.16-3.35, 4 Mo 3.35
Mo 0.2500 0.7500 0.5000  8 Ca 3.16-3.35, 4 Ag 3.35

---

No. 3
Density functional theory data (GGA-PBE) for a relaxed structure of NbI.

Output
As for the density: 5.80 g/cm³. The formation energy without anion corrections is 1.136 eV per atom. For the total energy, the calculation gives -4.673 eV per atom.

Cell lengths 4.4652, 4.4652, 4.4652 Å; angles 60.00, 60.00, 60.00 degrees
Last column: nearest neighbours and their distance in Å.
Positions (direct):
Nb 0.0000 0.0000 0.0000  4 I 2.73
I 0.7500 0.7500 0.7500  4 Nb 2.73

---

No. 4
Density functional theory data (GGA-PBE) for a relaxed structure of K3B2PbO6.

Output
As for the density: 3.80 g/cm³. The formation energy without anion corrections is -1.876 eV per atom. For the total energy, the calculation gives -6.051 eV per atom.

Cell lengths 5.6217, 5.6217, 7.0623 Å; angles 90.00, 90.00, 120.00 degrees
Last column: nearest neighbours and their distance in Å.
Positions (direct):
K 0.0000 0.0000 0.0000  6 O 2.72
K 0.3333 0.6667 0.7479  6 O 2.83
K 0.6667 0.3333 0.2521  6 O 2.83
B 0.3333 0.6667 0.2909  3 O 1.40
B 0.6667 0.3333 0.7091  3 O 1.40
Pb 0.0000 0.0000 0.5000  6 O 2.40
O 0.1900 0.3800 0.2833  1 B 1.40
O 0.1900 0.8100 0.2833  1 B 1.40
O 0.3800 0.1900 0.7167  1 B 1.40
O 0.6200 0.8100 0.2833  1 B 1.40
O 0.8100 0.1900 0.7167  1 B 1.40
O 0.8100 0.6200 0.7167  1 B 1.40

---

No. 5
Density functional theory data (GGA-PBE) for a relaxed structure of KCa2Cd2Pb2.

Output
As for the density: 5.31 g/cm³. For the total energy, the calculation gives -2.353 eV per atom.

Cell lengths 10.4528, 10.4528, 10.4528 Å; angles 28.99, 28.99, 28.99 degrees
Last column: nearest neighbours and their distance in Å.
Positions (direct):
K 0.0000 0.0000 0.0000  6 Pb 3.90, 2 Ca 4.06
Ca 0.1354 0.1354 0.1354  3 Cd 3.11, 4 Pb 3.42-3.48
Ca 0.8646 0.8646 0.8646  3 Cd 3.11, 4 Pb 3.42-3.48
Cd 0.4439 0.4439 0.4439  3 Ca 3.11, 3 Pb 3.14, 1 Cd 3.37
Cd 0.5561 0.5561 0.5561  3 Ca 3.11, 3 Pb 3.14, 1 Cd 3.37
Pb 0.2513 0.2513 0.2513  3 Cd 3.14, 4 Ca 3.42-3.48
Pb 0.7487 0.7487 0.7487  3 Cd 3.14, 4 Ca 3.42-3.48

---

No. 6
Density functional theory data (GGA-PBE) for a relaxed structure of Li2SnPb.

Output
As for the density: 6.55 g/cm³. For the total energy, the calculation gives -3.169 eV per atom.

Cell lengths 3.5043, 3.5043, 7.0107 Å; angles 90.00, 90.00, 90.00 degrees
Last column: nearest neighbours and their distance in Å.
Positions (direct):
Li 0.0000 0.0000 0.2368  4 Sn 2.98, 4 Pb 3.09, 1 Li 3.32
Li 0.0000 0.0000 0.7632  4 Sn 2.98, 4 Pb 3.09, 1 Li 3.32
Sn 0.5000 0.5000 0.0000  8 Li 2.98
Pb 0.5000 0.5000 0.5000  8 Li 3.09

---

No. 7
Density functional theory data (GGA-PBE) for a relaxed structure of Ca2ZnCuBr.

Output
As for the density: 2.80 g/cm³. The formation energy without anion corrections is 0.187 eV per atom. For the total energy, the calculation gives -2.022 eV per atom.

Cell lengths 5.6749, 5.6749, 5.3272 Å; angles 90.00, 90.00, 90.00 degrees
Last column: nearest neighbours and their distance in Å.
Positions (direct):
Ca 0.0000 0.5000 0.0000  2 Zn 2.84
Ca 0.5000 0.0000 0.0000  2 Zn 2.84
Zn 0.0000 0.0000 0.0000  2 Br 2.66, 4 Ca 2.84
Cu 0.5000 0.5000 0.5000  8 Ca 3.89, 4 Br 4.01
Br 0.0000 0.0000 0.5000  2 Zn 2.66

---

No. 8
Density functional theory data (GGA-PBE) for a relaxed structure of Sr3CuSn.

Output
As for the density: 3.88 g/cm³. For the total energy, the calculation gives -2.731 eV per atom. The calculation puts the energy above the most stable polymorph in this dataset at 0.000 eV per atom.

Cell lengths 5.7551, 5.7551, 5.7551 Å; angles 90.00, 90.00, 90.00 degrees
Last column: nearest neighbours and their distance in Å.
Positions (direct):
Sr 0.0000 0.0000 0.5000  2 Cu 2.88
Sr 0.0000 0.5000 0.0000  2 Cu 2.88
Sr 0.5000 0.0000 0.0000  2 Cu 2.88
Cu 0.0000 0.0000 0.0000  6 Sr 2.88
Sn 0.5000 0.5000 0.5000  12 Sr 4.07